Here is a geometry-optimized Pr4Ho2Mg structure from Alexandria. Energies are from PBE-GGA.

abc: 6.011 3.702 11.102
angles: 90.00 99.66 90.00
Element x y z (fractional)
Pr 0.045 0.000 0.206
Pr 0.438 0.500 0.749
Pr 0.562 0.500 0.251
Pr 0.955 0.000 0.794
Ho 0.000 0.500 0.500
Ho 0.500 0.000 0.500
Mg 0.500 0.000 0.000

Properties
E above lowest polymorph ... 0.00 eV/f.u.
DFT total energy ... -0.305 Ry/atom
Density of states at the Fermi level ... 7.3 states/eV/cell